Cu2AgHg: optimized geometry, PBE. Values from VASP.

Results
formation energy	0.123	eV/atom
total energy	-2.713	eV/atom
size of the total moment	0.000	μB/atom

Cell and atoms, written as Quantum ESPRESSO input:
```
&SYSTEM
  ibrav = 0, nat = 4, ntyp = 3
/
ATOMIC_SPECIES
Cu 63.55 Cu.upf
Ag 107.87 Ag.upf
Hg 200.59 Hg.upf
CELL_PARAMETERS angstrom
3.022 0.000 0.000
0.000 3.119 0.000
0.000 0.000 6.822
ATOMIC_POSITIONS crystal
Cu 0.000 0.000 0.000
Cu 0.500 0.500 0.183
Ag 0.500 0.500 0.760
Hg 0.000 0.000 0.446
```

***

Li4ZnPd: optimized geometry, PBE. Values from VASP.

Results
formation energy	-0.275	eV/atom
total energy	-2.629	eV/atom
size of the total moment	0.000	μB/atom

Cell and atoms, written as Quantum ESPRESSO input:
```
&SYSTEM
  ibrav = 0, nat = 6, ntyp = 3
/
ATOMIC_SPECIES
Li 6.94 Li.upf
Zn 65.41 Zn.upf
Pd 106.42 Pd.upf
CELL_PARAMETERS angstrom
3.373 -3.802 0.000
3.373 3.802 0.000
-2.773 0.000 3.432
ATOMIC_POSITIONS crystal
Li 0.080 0.412 0.247
Li 0.412 0.080 0.247
Li 0.588 0.920 0.753
Li 0.920 0.588 0.753
Zn 0.500 0.500 0.000
Pd 0.000 0.000 0.500
```